Compound: Ac2La2Tl
Source: Alexandria
Functional: GGA-PBE
Structure: relaxed

* magnetic moment: 0.000 μB per cell
* N(E_F): 10.39 states/eV per cell
* ΔE_f: -0.05 eV per atom

Lattice parameters (Å, degrees): 10.266 5.985 6.984 90.00 118.51 90.00
Space group C2/m (No. 12)
Asymmetric unit:
Ac1 0.187 0.000 0.062
La1 0.105 0.500 0.317
Tl1 0.000 0.000 0.500

=====

Compound: KCrCl2
Source: Alexandria
Functional: GGA-PBE
Structure: relaxed

* magnetic moment: 9.990 μB per cell
* E_form (uncorrected): -3.747 eV per formula unit
* N(E_F): 2.88 states/eV per cell

Lattice parameters (Å, degrees): 8.197 4.012 7.519 90.00 117.44 90.00
Space group C2/m (No. 12)
Asymmetric unit:
K1 0.000 0.000 0.000
Cr1 0.000 0.500 0.500
Cl1 0.193 0.000 0.720

=====

Compound: YHg4Cl
Source: Alexandria
Functional: GGA-PBE
Structure: relaxed

* magnetic moment: 0.000 μB per cell
* E_form (uncorrected): -1.050 eV per formula unit
* N(E_F): 18.72 states/eV per cell

Lattice parameters (Å, degrees): 8.554 8.554 8.554 90.00 90.00 90.00
Space group F-43m (No. 216)
Asymmetric unit:
Y1 0.000 0.000 0.000
Hg1 0.125 0.125 0.375
Cl1 0.250 0.250 0.750

=====

What is the magnetic moment in the first record?
0.000 μB per cell